## P
ErPI | PBE-GGA | relaxed

Cell and atoms, written as POSCAR:
```
ErPI
1.0
3.9609 0.0300 0.0274
-1.9271 4.5859 -0.0535
0.0482 -2.6743 11.3310
Er P I
2 2 2
Direct
0.8274 0.6708 0.8753
0.1726 0.3292 0.1247
0.4849 0.8834 0.0716
0.5151 0.1166 0.9284
0.7948 0.6146 0.3155
0.2052 0.3854 0.6845
```

Values from the calculation:
- Magnetic moment: 0.000 Bohr magnetons per cell

---

## Q
ErPI | PBE-GGA | relaxed

Cell and atoms, written as POSCAR:
```
ErPI
1.0
4.8101 0.0536 -0.0150
-0.0646 5.4976 -0.3010
-2.2155 -2.8823 9.2467
Er P I
2 2 2
Direct
0.7813 0.7877 0.5658
0.2187 0.2123 0.4342
0.7852 0.2905 0.5746
0.2148 0.7095 0.4254
0.0680 0.2550 0.1334
0.9320 0.7450 0.8666
```

Values from the calculation:
- Magnetic moment: 0.000 Bohr magnetons per cell

---

List of relative energies, unit kJ/mol of atoms: P 0.0; Q 33.4

---

## P
Er2PbI | PBE-GGA | relaxed

Cell and atoms, written as POSCAR:
```
Er2PbI
1.0
-3.9744 -1.6423 1.4572
-0.0986 -3.0758 3.3386
-1.7476 3.5403 6.2976
Er Pb I
2 1 1
Direct
0.2605 0.2605 0.2186
0.7395 0.7395 0.7814
0.0000 0.0000 0.0000
0.5000 0.5000 0.5000
```

Values from the calculation:
- Magnetic moment: 0.000 Bohr magnetons per cell

---

## Q
Er2PbI | PBE-GGA | relaxed

Cell and atoms, written as POSCAR:
```
Er2PbI
1.0
4.3950 0.0000 0.0000
2.1975 3.8062 0.0000
2.1975 1.2687 7.5816
I Er Pb
1 2 1
Direct
0.4982 0.4982 0.5055
0.0704 0.0704 0.7887
0.2625 0.2625 0.2124
0.6689 0.6689 0.9934
```

Values from the calculation:
- Magnetic moment: 0.000 Bohr magnetons per cell

---

List of relative energies, unit kJ/mol of atoms: P 0.0; Q 3.7

---

## P
Pm2ErI | PBE-GGA | relaxed

Cell and atoms, written as POSCAR:
```
Pm2ErI
1.0
3.6805 0.0000 0.0000
0.0000 3.6805 0.0000
0.0000 0.0000 9.6313
Pm I Er
2 1 1
Direct
0.0000 0.0000 0.7567
0.0000 0.0000 0.2433
0.5000 0.5000 0.0000
0.5000 0.5000 0.5000
```

Values from the calculation:
- Magnetic moment: 0.001 Bohr magnetons per cell

---

## Q
Pm2ErI | PBE-GGA | relaxed

Cell and atoms, written as POSCAR:
```
Pm2ErI
1.0
-2.7384 -0.3114 2.3678
0.2016 -2.4200 2.7028
4.1952 7.2139 8.5886
Er Pm I
1 2 1
Direct
0.0000 0.0000 0.0000
0.9054 0.9054 0.2837
0.0946 0.0946 0.7163
0.5000 0.5000 0.5000
```

Values from the calculation:
- Magnetic moment: 0.421 Bohr magnetons per cell

---

## R
Pm2ErI | PBE-GGA | relaxed

Cell and atoms, written as POSCAR:
```
Pm2ErI
1.0
3.7812 0.0001 -0.0001
1.8907 3.2745 -0.0001
1.8904 1.0914 10.6754
I Pm Er
1 2 1
Direct
0.4998 0.4998 0.5006
0.2443 0.2443 0.2670
0.0890 0.0890 0.7332
0.6669 0.6669 0.9992
```

Values from the calculation:
- Magnetic moment: 0.370 Bohr magnetons per cell

---

List of relative energies, unit kJ/mol of atoms: P 5.7; Q 29.7; R 0.0

---

## P
PrErI2 | PBE-GGA | relaxed

Cell and atoms, written as POSCAR:
```
PrErI2
1.0
3.8226 0.0000 0.0000
1.9113 3.3104 0.0000
1.9113 1.1035 9.8434
Er I Pr
1 2 1
Direct
0.6648 0.6648 0.0056
0.0815 0.0815 0.7556
0.2518 0.2518 0.2446
0.5019 0.5019 0.4943
```

Values from the calculation:
- Magnetic moment: 0.000 Bohr magnetons per cell

---

## Q
PrErI2 | PBE-GGA | relaxed

Cell and atoms, written as POSCAR:
```
PrErI2
1.0
-3.6035 1.5228 -0.0606
-2.3968 -0.5241 3.0478
1.7511 9.3890 5.5029
I Er Pr
2 1 1
Direct
0.9057 0.9057 0.2830
0.0943 0.0943 0.7170
0.0000 0.0000 0.0000
0.5000 0.5000 0.5000
```

Values from the calculation:
- Magnetic moment: 0.000 Bohr magnetons per cell

---

List of relative energies, unit kJ/mol of atoms: P 0.0; Q 2.7

---

## P
PrErI | PBE-GGA | relaxed

Cell and atoms, written as POSCAR:
```
PrErI
1.0
3.8653 0.0000 0.0000
0.0000 5.4460 0.0000
0.0000 -2.7230 4.7164
I Er Pr
1 1 1
Direct
0.2501 0.3333 0.6667
0.1334 0.0000 0.0000
0.6165 0.6667 0.3333
```

Values from the calculation:
- Magnetic moment: 0.000 Bohr magnetons per cell

---

## Q
PrErI | PBE-GGA | relaxed

Cell and atoms, written as POSCAR:
```
PrErI
1.0
-5.4865 -1.6642 -1.8238
1.3850 -3.2946 -1.1603
0.4231 -1.0699 9.6273
I Er Pr
2 2 2
Direct
0.8337 0.3337 0.6675
0.1663 0.6663 0.3325
0.2542 0.5000 0.0000
0.7458 0.5000 0.0000
0.6493 0.1493 0.2986
0.3507 0.8507 0.7014
```

Values from the calculation:
- Magnetic moment: 0.000 Bohr magnetons per cell

---

List of relative energies, unit kJ/mol of atoms: P 9.6; Q 0.0

---

## P
Pr2ErI | PBE-GGA | relaxed

Cell and atoms, written as POSCAR:
```
Pr2ErI
1.0
-3.0390 2.2950 -0.5279
-2.9114 -0.0575 2.5103
2.8352 8.4527 6.4261
Pr Er I
2 1 1
Direct
0.0800 0.0800 0.7601
0.2535 0.2535 0.2394
0.4999 0.4999 0.5004
0.6666 0.6666 0.0002
```

Values from the calculation:
- Magnetic moment: 0.065 Bohr magnetons per cell

---

## Q
Pr2ErI | PBE-GGA | relaxed

Cell and atoms, written as POSCAR:
```
Pr2ErI
1.0
3.8106 0.0000 0.0000
1.9053 3.3001 0.0000
1.9053 1.1000 10.8841
I Pr Er
1 2 1
Direct
0.5000 0.5000 0.5000
0.7540 0.7540 0.7380
0.2460 0.2460 0.2620
0.0000 0.0000 0.0000
```

Values from the calculation:
- Magnetic moment: 0.000 Bohr magnetons per cell

---

## R
Pr2ErI | PBE-GGA | relaxed

Cell and atoms, written as POSCAR:
```
Pr2ErI
1.0
-0.5455 0.1613 -3.6779
3.5103 -1.0975 -0.5688
-2.9015 -9.2925 0.0228
I Er Pr
1 1 2
Direct
0.5000 0.5000 0.5000
0.5000 0.5000 0.0000
0.0000 0.0000 0.2572
0.0000 0.0000 0.7428
```

Values from the calculation:
- Magnetic moment: 0.000 Bohr magnetons per cell

---

List of relative energies, unit kJ/mol of atoms: P 0.0; Q 1.5; R 4.5